1.
Here is a relaxed YWNO2 crystal from Alexandria. Energies are from PBE with a Hubbard U.

abc: 4.2857 4.2857 4.4120
angles: 90.00 90.00 90.00
Fractional coordinates of all 5 atoms:
Y  0.0000  0.0000  0.0000
W  0.5000  0.5000  0.5000
N  0.0000  0.0000  0.5000
O  0.0000  0.5000  0.0000
O  0.5000  0.0000  0.0000



2.
Here is a relaxed YWNO2 crystal from Alexandria. Energies are from PBE with a Hubbard U.

abc: 4.0506 4.0506 4.0303
angles: 90.00 90.00 90.00
Fractional coordinates of all 5 atoms:
Y  0.0000  0.0000  0.0000
W  0.5000  0.5000  0.5000
N  0.5000  0.5000  0.0000
O  0.0000  0.5000  0.5000
O  0.5000  0.0000  0.5000



3.
Here is a relaxed ZnWNO2 crystal from Alexandria. Energies are from PBE with a Hubbard U.

abc: 3.9065 3.9065 4.0633
angles: 90.00 90.00 90.00
Fractional coordinates of all 5 atoms:
Zn  0.0000  0.0000  0.0000
W  0.5000  0.5000  0.5000
N  0.5000  0.5000  0.0000
O  0.0000  0.5000  0.5000
O  0.5000  0.0000  0.5000



4.
Here is a relaxed ZnWN2O crystal from Alexandria. Energies are from PBE with a Hubbard U.

abc: 3.8353 3.8353 5.5656
angles: 90.00 90.00 90.00
Fractional coordinates of all 5 atoms:
Zn  0.0000  0.0000  0.0000
W  0.0000  0.0000  0.5000
N  0.0000  0.5000  0.5000
N  0.5000  0.0000  0.5000
O  0.5000  0.5000  0.0000



5.
Here is a relaxed ZnWN2O crystal from Alexandria. Energies are from PBE with a Hubbard U.

abc: 4.0125 4.0125 3.8693
angles: 90.00 90.00 90.00
Fractional coordinates of all 5 atoms:
Zn  0.0000  0.0000  0.0000
W  0.5000  0.5000  0.5000
N  0.0000  0.5000  0.5000
N  0.5000  0.0000  0.5000
O  0.5000  0.5000  0.0000



6.
Here is a relaxed ZnWN2O crystal from Alexandria. Energies are from PBE with a Hubbard U.

abc: 3.8324 3.8324 3.8115
angles: 90.00 90.00 90.00
Fractional coordinates of all 5 atoms:
Zn  0.0000  0.0000  0.0000
W  0.5000  0.5000  0.5000
N  0.0000  0.5000  0.0000
N  0.5000  0.0000  0.0000
O  0.0000  0.0000  0.5000



7.
Here is a relaxed ZnWNO2 crystal from Alexandria. Energies are from PBE with a Hubbard U.

abc: 3.8298 3.8298 3.8432
angles: 90.00 90.00 90.00
Fractional coordinates of all 5 atoms:
Zn  0.0000  0.0000  0.0000
W  0.5000  0.5000  0.5000
N  0.0000  0.0000  0.5000
O  0.0000  0.5000  0.0000
O  0.5000  0.0000  0.0000



8.
Here is a relaxed ZrWN2O crystal from Alexandria. Energies are from PBE with a Hubbard U.

abc: 4.0060 4.0060 3.8447
angles: 90.00 90.00 90.00
Fractional coordinates of all 5 atoms:
Zr  0.0000  0.0000  0.0000
W  0.5000  0.5000  0.5000
N  0.0000  0.5000  0.5000
N  0.5000  0.0000  0.5000
O  0.5000  0.5000  0.0000



| no. | magnetization (μB/atom) | calculated total energy (eV/atom) |
| --- | --- | --- |
| 1 | 0.40 | -6.540 |
| 2 | 0.37 | -7.965 |
| 3 | 0.04 | -6.025 |
| 4 | 0.14 | -5.077 |
| 5 | 0.00 | -6.036 |
| 6 | 0.22 | -4.878 |
| 7 | 0.37 | -4.902 |
| 8 | 0.00 | -8.020 |